{
  "formula": "Sc3Ag5S12",
  "functional": "PBE-GGA",
  "state": "relaxed",
  "lattice_angstrom": [[-7.651, 7.651, 7.651], [7.651, -7.651, 7.651], [7.651, 7.651, -7.651]],
  "species": ["Sc", "Sc", "Sc", "Sc", "Sc", "Sc", "Sc", "Sc", "Sc", "Sc", "Sc", "Sc", "Ag", "Ag", "Ag", "Ag", "Ag", "Ag", "Ag", "Ag", "Ag", "Ag", "Ag", "Ag", "Ag", "Ag", "Ag", "Ag", "Ag", "Ag", "Ag", "Ag", "S", "S", "S", "S", "S", "S", "S", "S", "S", "S", "S", "S", "S", "S", "S", "S", "S", "S", "S", "S", "S", "S", "S", "S", "S", "S", "S", "S", "S", "S", "S", "S", "S", "S", "S", "S", "S", "S", "S", "S", "S", "S", "S", "S", "S", "S", "S", "S"],
  "frac_coords": [[0.125, 0.250, 0.375], [0.125, 0.375, 0.750], [0.250, 0.375, 0.125], [0.250, 0.875, 0.625], [0.375, 0.125, 0.250], [0.375, 0.750, 0.125], [0.625, 0.250, 0.875], [0.625, 0.875, 0.750], [0.750, 0.125, 0.375], [0.750, 0.625, 0.875], [0.875, 0.625, 0.250], [0.875, 0.750, 0.625], [0.000, 0.000, 0.000], [0.000, 0.000, 0.500], [0.000, 0.500, 0.000], [0.000, 0.500, 0.500], [0.125, 0.750, 0.875], [0.125, 0.875, 0.250], [0.250, 0.125, 0.875], [0.250, 0.625, 0.375], [0.375, 0.250, 0.625], [0.375, 0.625, 0.750], [0.500, 0.000, 0.000], [0.500, 0.000, 0.500], [0.500, 0.500, 0.000], [0.500, 0.500, 0.500], [0.625, 0.375, 0.250], [0.625, 0.750, 0.375], [0.750, 0.375, 0.625], [0.750, 0.875, 0.125], [0.875, 0.125, 0.750], [0.875, 0.250, 0.125], [0.076, 0.259, 0.161], [0.076, 0.317, 0.914], [0.086, 0.661, 0.403], [0.086, 0.924, 0.683], [0.097, 0.759, 0.683], [0.097, 0.839, 0.414], [0.161, 0.076, 0.259], [0.161, 0.586, 0.903], [0.183, 0.259, 0.597], [0.183, 0.424, 0.586], [0.241, 0.317, 0.903], [0.241, 0.424, 0.339], [0.259, 0.161, 0.076], [0.259, 0.597, 0.183], [0.317, 0.903, 0.241], [0.317, 0.914, 0.076], [0.339, 0.241, 0.424], [0.339, 0.597, 0.914], [0.403, 0.086, 0.661], [0.403, 0.817, 0.741], [0.414, 0.097, 0.839], [0.414, 0.817, 0.576], [0.424, 0.339, 0.241], [0.424, 0.586, 0.183], [0.576, 0.414, 0.817], [0.576, 0.661, 0.759], [0.586, 0.183, 0.424], [0.586, 0.903, 0.161], [0.597, 0.183, 0.259], [0.597, 0.914, 0.339], [0.661, 0.403, 0.086], [0.661, 0.759, 0.576], [0.683, 0.086, 0.924], [0.683, 0.097, 0.759], [0.741, 0.403, 0.817], [0.741, 0.839, 0.924], [0.759, 0.576, 0.661], [0.759, 0.683, 0.097], [0.817, 0.576, 0.414], [0.817, 0.741, 0.403], [0.839, 0.414, 0.097], [0.839, 0.924, 0.741], [0.903, 0.161, 0.586], [0.903, 0.241, 0.317], [0.914, 0.076, 0.317], [0.914, 0.339, 0.597], [0.924, 0.683, 0.086], [0.924, 0.741, 0.839]],
  "e_form_raw_ev_per_atom": -0.45,
  "sg": "Ia-3d, No. 230",
  "volume_a3_per_atom": 22.40
}

***

{
  "formula": "ScAgS2",
  "functional": "PBE-GGA",
  "state": "relaxed",
  "lattice_angstrom": [[7.152, 0.000, 0.000], [0.000, 8.188, 0.000], [0.000, 0.000, 6.708]],
  "species": ["Sc", "Sc", "Sc", "Sc", "Ag", "Ag", "Ag", "Ag", "S", "S", "S", "S", "S", "S", "S", "S"],
  "frac_coords": [[0.085, 0.125, 0.000], [0.415, 0.625, 0.500], [0.585, 0.375, 0.000], [0.915, 0.875, 0.500], [0.102, 0.621, 0.992], [0.398, 0.121, 0.492], [0.602, 0.879, 0.992], [0.898, 0.379, 0.492], [0.065, 0.121, 0.634], [0.087, 0.631, 0.610], [0.413, 0.131, 0.110], [0.435, 0.621, 0.134], [0.565, 0.379, 0.634], [0.587, 0.869, 0.610], [0.913, 0.369, 0.110], [0.935, 0.879, 0.134]],
  "e_form_raw_ev_per_atom": -1.11,
  "sg": "Pna2_1, No. 33",
  "volume_a3_per_atom": 24.55
}

***

{
  "formula": "ScAgS2",
  "functional": "PBE-GGA",
  "state": "relaxed",
  "lattice_angstrom": [[6.938, 0.000, 0.000], [0.000, 3.934, 0.000], [0.000, 0.000, 12.281]],
  "species": ["Sc", "Sc", "Sc", "Sc", "Ag", "Ag", "Ag", "Ag", "S", "S", "S", "S", "S", "S", "S", "S"],
  "frac_coords": [[0.111, 0.250, 0.108], [0.389, 0.750, 0.608], [0.611, 0.250, 0.392], [0.889, 0.750, 0.892], [0.194, 0.750, 0.323], [0.306, 0.250, 0.823], [0.694, 0.750, 0.177], [0.806, 0.250, 0.677], [0.072, 0.750, 0.718], [0.212, 0.750, 0.998], [0.288, 0.250, 0.498], [0.428, 0.250, 0.218], [0.572, 0.750, 0.782], [0.712, 0.750, 0.502], [0.788, 0.250, 0.002], [0.928, 0.250, 0.282]],
  "e_form_raw_ev_per_atom": -1.06,
  "sg": "Pnma, No. 62",
  "volume_a3_per_atom": 20.95
}